Entry 1:
Material: ZrCoP2
Method: DFT, PBE-GGA
State: optimized geometry

Output
The calculation puts the size of the total moment at 0.57 μB per cell. The energy above the most stable polymorph in this dataset comes out at 381 meV/atom. The value obtained for the total energy is -6.96 eV/atom. As for the calculated formation energy: -0.343 eV per atom.

Unit cell a=4.355 b=4.355 c=4.355 alpha=60.00 beta=60.00 gamma=60.00
Atoms (fractional coordinates):
Zr: 0.000 0.000 0.000
Co: 0.500 0.500 0.500
P: 0.250 0.250 0.250
P: 0.750 0.750 0.750

=====

Entry 2:
Material: BiSeCl
Method: DFT, PBE-GGA
State: optimized geometry

Output
The raw formation energy is -0.589 eV/atom. The calculation puts the size of the total moment at 0.00 μB per cell. The value obtained for the total energy is -3.66 eV/atom.

Unit cell a=3.984 b=7.503 c=7.705 alpha=102.59 beta=103.64 gamma=90.03
Atoms (fractional coordinates):
Bi: 0.000 0.000 0.000
Bi: 0.009 0.505 0.019
Se: 0.420 0.760 0.826
Se: 0.588 0.343 0.193
Cl: 0.132 0.824 0.288
Cl: 0.877 0.199 0.731

=====

Entry 3:
Material: CaScBi2
Method: DFT, PBE-GGA
State: optimized geometry

Output
The calculation puts the size of the total moment at 0.00 μB per cell. The energy above the most stable polymorph in this dataset comes out at 83 meV/atom. The value obtained for the total energy is -4.59 eV/atom. As for the calculated formation energy: -0.568 eV per atom.

Unit cell a=3.696 b=3.696 c=8.322 alpha=90.00 beta=90.00 gamma=90.00
Atoms (fractional coordinates):
Ca: 0.000 0.000 0.000
Sc: 0.000 0.000 0.500
Bi: 0.500 0.500 0.271
Bi: 0.500 0.500 0.729

=====

Entry 4:
Material: RbNa4Sn
Method: DFT, PBE-GGA
State: optimized geometry

Output
The calculation puts the size of the total moment at 0.05 μB per cell. The energy above the most stable polymorph in this dataset comes out at 93 meV/atom. The value obtained for the total energy is -1.69 eV/atom. As for the calculated formation energy: 0.016 eV per atom.

Unit cell a=6.666 b=6.666 c=6.666 alpha=60.00 beta=60.00 gamma=60.00
Atoms (fractional coordinates):
Rb: 0.000 0.000 0.000
Na: 0.132 0.623 0.623
Na: 0.623 0.132 0.623
Na: 0.623 0.623 0.132
Na: 0.623 0.623 0.623
Sn: 0.250 0.250 0.250

=====

Entry 5:
Material: AlF
Method: DFT, PBE-GGA
State: optimized geometry

Output
The raw formation energy is -1.712 eV/atom. The calculation puts the size of the total moment at 0.00 μB per cell. The value obtained for the total energy is -4.52 eV/atom.

Unit cell a=6.952 b=6.952 c=6.952 alpha=109.47 beta=109.47 gamma=109.47
Atoms (fractional coordinates):
Al: 0.000 0.000 0.232
Al: 0.000 0.232 0.000
Al: 0.232 0.000 0.000
Al: 0.768 0.768 0.768
F: 0.000 0.000 0.475
F: 0.000 0.475 0.000
F: 0.475 0.000 0.000
F: 0.525 0.525 0.525

=====

Entry 6:
Material: HfNbGe
Method: DFT, PBE-GGA
State: optimized geometry

Output
The calculation puts the size of the total moment at 0.00 μB per cell. The value obtained for the total energy is -8.63 eV/atom. As for the calculated formation energy: -0.416 eV per atom.

Unit cell a=5.301 b=5.301 c=7.343 alpha=120.42 beta=120.42 gamma=39.87
Atoms (fractional coordinates):
Hf: 0.000 0.000 0.000
Hf: 0.742 0.742 0.402
Nb: 0.173 0.173 0.694
Nb: 0.426 0.426 0.290
Ge: 0.448 0.448 0.679
Ge: 0.730 0.730 0.012

=====

Entry 7:
Material: CrAsAu2
Method: DFT, PBE-GGA
State: optimized geometry

Output
The calculation puts the size of the total moment at 3.70 μB per cell. The value obtained for the total energy is -5.06 eV/atom. As for the calculated formation energy: 0.150 eV per atom.

Unit cell a=3.474 b=3.762 c=5.479 alpha=90.00 beta=90.00 gamma=90.00
Atoms (fractional coordinates):
Cr: 0.000 0.000 0.000
As: 0.000 0.000 0.500
Au: 0.500 0.500 0.245
Au: 0.500 0.500 0.755

=====

Entry 8:
Material: Ti3GaAu
Method: DFT, PBE-GGA
State: optimized geometry

Output
The calculation puts the size of the total moment at 0.00 μB per cell. The energy above the most stable polymorph in this dataset comes out at 122 meV/atom. The value obtained for the total energy is -6.04 eV/atom. As for the calculated formation energy: -0.046 eV per atom.

Unit cell a=7.545 b=7.545 c=4.992 alpha=90.00 beta=90.00 gamma=140.05
Atoms (fractional coordinates):
Ti: 0.000 0.000 0.000
Ti: 0.000 0.000 0.500
Ti: 0.086 0.405 0.250
Ti: 0.405 0.086 0.750
Ti: 0.595 0.914 0.250
Ti: 0.914 0.595 0.750
Ga: 0.464 0.536 0.750
Ga: 0.536 0.464 0.250
Au: 0.175 0.825 0.250
Au: 0.825 0.175 0.750